[1]
Entry from Alexandria via LeMat-Bulk: a geometry-optimized YTaCl2 structure (PBE).

```
YTaCl2
1.0
6.073 0.005 -0.001
3.338 5.073 0.001
-4.188 -3.499 2.664
Y Cl Ta
1 2 1
direct
0.248 0.748 0.500 Y
0.022 0.022 0.000 Cl
0.716 0.216 0.500 Cl
0.514 0.514 0.000 Ta
```

Computed properties:
The formation energy from raw total energies is -0.25 eV/atom. The value obtained for the total energy is -5.7517 eV/atom. For the energy above the lowest structure with this stoichiometry, the calculation gives 720 meV per atom. As for the space group: Imm2. The total magnetic moment comes out at 0.0 Bohr magnetons per cell.

[2]
Entry from Alexandria via LeMat-Bulk: a geometry-optimized YTaCl2 structure (PBE).

```
YTaCl2
1.0
6.355 -0.079 0.000
4.109 4.848 0.000
-5.232 -2.384 2.707
Y Cl Ta
1 2 1
direct
0.750 0.250 0.500 Y
0.000 0.000 0.000 Cl
0.250 0.750 0.500 Cl
0.500 0.500 0.000 Ta
```

Computed properties:
The formation energy from raw total energies is 0.00 eV/atom. The value obtained for the total energy is -5.5031 eV/atom. For the energy above the lowest structure with this stoichiometry, the calculation gives 968 meV per atom. As for the space group: I-4m2. The total magnetic moment comes out at 2.0 Bohr magnetons per cell.